# 1
# CaYZr2, optimized geometry, DFT PBE
# Relative energy among the computed polymorphs = 136 meV per atom
# Density of states at the Fermi level = 5.37 states/eV/f.u.
# Size of the total moment = 0.00 μB/cell
# Energy = -6.091 eV per atom
data_CaYZr2
_space_group_name_H-M_alt 'P 1'
_space_group_IT_number 1
_space_group_name_Hall 'P 1'
_cell_length_a 6.008
_cell_length_b 6.008
_cell_length_c 3.296
_cell_angle_alpha 90.00
_cell_angle_beta 90.00
_cell_angle_gamma 112.74
loop_
_atom_site_label
_atom_site_fract_x
_atom_site_fract_y
_atom_site_fract_z
Ca1 0.000 0.000 0.000
Y1 0.500 0.500 0.000
Zr1 0.000 0.500 0.500
Zr2 0.500 0.000 0.500

# 2
# CaInTe2N, optimized geometry, DFT PBE
# Relative energy among the computed polymorphs = 0 meV per atom
# Density of states at the Fermi level = 2.58 states/eV/f.u.
# Size of the total moment = 1.92 μB/cell
# Raw formation energy = 156.0 meV per atom
# Energy = -3.714 eV per atom
data_CaInTe2N
_space_group_name_H-M_alt 'P 1'
_space_group_IT_number 1
_space_group_name_Hall 'P 1'
_cell_length_a 6.077
_cell_length_b 6.077
_cell_length_c 4.242
_cell_angle_alpha 90.00
_cell_angle_beta 90.00
_cell_angle_gamma 90.00
loop_
_atom_site_label
_atom_site_fract_x
_atom_site_fract_y
_atom_site_fract_z
Ca1 0.000 0.000 0.000
In1 0.500 0.500 0.500
Te1 0.000 0.500 0.500
Te2 0.500 0.000 0.500
N1 0.500 0.500 0.000